CdAg5Pd4, optimized geometry, DFT GGA-PBE; DFT formation energy = 0 meV per atom
1.0
4.1704 0.0000 -1.0104
-0.6471 6.3202 -2.6707
-0.4063 -0.8020 7.4347
Cd Ag Pd
1 5 4
Direct
0.5000 0.0000 0.0000
0.8355 0.3754 0.6710
0.8173 0.7618 0.6346
0.1827 0.2382 0.3654
0.5000 0.5000 0.0000
0.1645 0.6246 0.3290
0.3237 0.0676 0.6475
0.9773 0.2134 0.9547
0.6763 0.9324 0.3525
0.0227 0.7866 0.0453